# 1
LiNiAgB: optimized geometry, PBE.

Properties
energy above the lowest structure with this stoichiometry = 0.1129 eV per atom

a b c (Å): 5.714 5.714 5.714
angles (deg): 90.00 90.00 90.00
Space group F-43m (No. 216)
Symmetry-distinct sites (fractional):
Li1 0.000 0.000 0.000 [4 per cell]
Ni1 0.250 0.250 0.750 [4 per cell]
Ag1 0.000 0.000 0.500 [4 per cell]
B1 0.250 0.250 0.250 [4 per cell]

---

# 2
LiNiAgB: optimized geometry, PBE.

Properties
energy above the lowest structure with this stoichiometry = 0.0000 eV per atom

a b c (Å): 5.681 5.681 5.681
angles (deg): 90.00 90.00 90.00
Space group F-43m (No. 216)
Symmetry-distinct sites (fractional):
Li1 0.000 0.000 0.000 [4 per cell]
Ni1 0.000 0.000 0.500 [4 per cell]
Ag1 0.250 0.250 0.750 [4 per cell]
B1 0.250 0.250 0.250 [4 per cell]

---

# 3
Lu2AgB: optimized geometry, PBE.

Properties
E_tot = -3.921 eV per atom

a b c (Å): 6.752 6.752 6.752
angles (deg): 90.00 90.00 90.00
Space group F-43m (No. 216)
Symmetry-distinct sites (fractional):
Lu1 0.000 0.000 0.000 [4 per cell]
Lu2 0.250 0.250 0.250 [4 per cell]
Ag1 0.250 0.250 0.750 [4 per cell]
B1 0.000 0.000 0.500 [4 per cell]

---

# 4
LuAgB: optimized geometry, PBE.

Properties
energy above the lowest structure with this stoichiometry = 0.0000 eV per atom

a b c (Å): 6.110 6.110 6.110
angles (deg): 90.00 90.00 90.00
Space group F-43m (No. 216)
Symmetry-distinct sites (fractional):
Lu1 0.000 0.000 0.000 [4 per cell]
Ag1 0.250 0.250 0.750 [4 per cell]
B1 0.000 0.000 0.500 [4 per cell]

---

# 5
LuAgB: optimized geometry, PBE.

Properties
energy above the lowest structure with this stoichiometry = 0.2412 eV per atom

a b c (Å): 6.261 6.261 6.261
angles (deg): 90.00 90.00 90.00
Space group F-43m (No. 216)
Symmetry-distinct sites (fractional):
Lu1 0.000 0.000 0.000 [4 per cell]
Ag1 0.250 0.250 0.750 [4 per cell]
B1 0.250 0.250 0.250 [4 per cell]

---

# 6
LuNiAgB: optimized geometry, PBE.

Properties
energy above the lowest structure with this stoichiometry = 0.0000 eV per atom

a b c (Å): 6.178 6.178 6.178
angles (deg): 90.00 90.00 90.00
Space group F-43m (No. 216)
Symmetry-distinct sites (fractional):
Lu1 0.000 0.000 0.000 [4 per cell]
Ni1 0.250 0.250 0.750 [4 per cell]
Ag1 0.000 0.000 0.500 [4 per cell]
B1 0.250 0.250 0.250 [4 per cell]

---

# 7
LuNiAgB: optimized geometry, PBE.

Properties
energy above the lowest structure with this stoichiometry = 0.0494 eV per atom

a b c (Å): 6.217 6.217 6.217
angles (deg): 90.00 90.00 90.00
Space group F-43m (No. 216)
Symmetry-distinct sites (fractional):
Lu1 0.000 0.000 0.000 [4 per cell]
Ni1 0.000 0.000 0.500 [4 per cell]
Ag1 0.250 0.250 0.750 [4 per cell]
B1 0.250 0.250 0.250 [4 per cell]

---

# 8
MgAg2B: optimized geometry, PBE.

Properties
E_tot = -2.881 eV per atom

a b c (Å): 6.279 6.279 6.279
angles (deg): 90.00 90.00 90.00
Space group F-43m (No. 216)
Symmetry-distinct sites (fractional):
Mg1 0.000 0.000 0.000 [4 per cell]
Ag1 0.000 0.000 0.500 [4 per cell]
Ag2 0.250 0.250 0.250 [4 per cell]
B1 0.250 0.250 0.750 [4 per cell]

---

# 9
MgAgB2: optimized geometry, PBE.

Properties
E_tot = -3.144 eV per atom

a b c (Å): 5.858 5.858 5.858
angles (deg): 90.00 90.00 90.00
Space group F-43m (No. 216)
Symmetry-distinct sites (fractional):
Mg1 0.000 0.000 0.000 [4 per cell]
Ag1 0.250 0.250 0.250 [4 per cell]
B1 0.000 0.000 0.500 [4 per cell]
B2 0.250 0.250 0.750 [4 per cell]

---

# 10
Mg2AgB: optimized geometry, PBE.

Properties
E_tot = -2.574 eV per atom

a b c (Å): 6.233 6.233 6.233
angles (deg): 90.00 90.00 90.00
Space group F-43m (No. 216)
Symmetry-distinct sites (fractional):
Mg1 0.000 0.000 0.000 [4 per cell]
Mg2 0.250 0.250 0.250 [4 per cell]
Ag1 0.250 0.250 0.750 [4 per cell]
B1 0.000 0.000 0.500 [4 per cell]

---

# 11
MgNiAgB: optimized geometry, PBE.

Properties
energy above the lowest structure with this stoichiometry = 0.0000 eV per atom

a b c (Å): 5.939 5.939 5.939
angles (deg): 90.00 90.00 90.00
Space group F-43m (No. 216)
Symmetry-distinct sites (fractional):
Mg1 0.000 0.000 0.000 [4 per cell]
Ni1 0.000 0.000 0.500 [4 per cell]
Ag1 0.250 0.250 0.750 [4 per cell]
B1 0.250 0.250 0.250 [4 per cell]

---

# 12
MgNiAgB: optimized geometry, PBE.

Properties
energy above the lowest structure with this stoichiometry = 0.0497 eV per atom

a b c (Å): 5.943 5.943 5.943
angles (deg): 90.00 90.00 90.00
Space group F-43m (No. 216)
Symmetry-distinct sites (fractional):
Mg1 0.000 0.000 0.000 [4 per cell]
Ni1 0.250 0.250 0.750 [4 per cell]
Ag1 0.000 0.000 0.500 [4 per cell]
B1 0.250 0.250 0.250 [4 per cell]

---

# 13
MgAg2B2O6: optimized geometry, PBE.

Properties
E_tot = -6.070 eV per atom

a b c (Å): 8.480 5.120 5.920
angles (deg): 90.00 118.52 90.00
Space group C2/m (No. 12)
Symmetry-distinct sites (fractional):
Mg1 0.000 0.000 0.000 [2 per cell]
Ag1 0.204 0.000 0.684 [4 per cell]
B1 0.057 0.500 0.767 [4 per cell]
O1 0.040 0.271 0.278 [8 per cell]
O2 0.235 0.500 0.859 [4 per cell]

---

# 14
AgB2Mo: optimized geometry, PBE.

Properties
E_tot = -5.117 eV per atom

a b c (Å): 5.813 5.813 5.813
angles (deg): 90.00 90.00 90.00
Space group F-43m (No. 216)
Symmetry-distinct sites (fractional):
Ag1 0.000 0.000 0.000 [4 per cell]
B1 0.000 0.000 0.500 [4 per cell]
B2 0.250 0.250 0.250 [4 per cell]
Mo1 0.250 0.250 0.750 [4 per cell]

---

# 15
AgBMo: optimized geometry, PBE.

Properties
energy above the lowest structure with this stoichiometry = 0.0000 eV per atom

a b c (Å): 5.790 5.790 5.790
angles (deg): 90.00 90.00 90.00
Space group F-43m (No. 216)
Symmetry-distinct sites (fractional):
Ag1 0.000 0.000 0.000 [4 per cell]
B1 0.000 0.000 0.500 [4 per cell]
Mo1 0.250 0.250 0.250 [4 per cell]

---

# 16
AgBMo2: optimized geometry, PBE.

Properties
E_tot = -6.791 eV per atom

a b c (Å): 6.126 6.126 6.126
angles (deg): 90.00 90.00 90.00
Space group F-43m (No. 216)
Symmetry-distinct sites (fractional):
Ag1 0.000 0.000 0.000 [4 per cell]
B1 0.250 0.250 0.750 [4 per cell]
Mo1 0.000 0.000 0.500 [4 per cell]
Mo2 0.250 0.250 0.250 [4 per cell]

---

# 17
Ag3BN3: optimized geometry, PBE.

Properties
E_tot = -4.921 eV per atom

a b c (Å): 3.205 3.205 8.694
angles (deg): 90.00 90.00 90.00
Space group P4/mmm (No. 123)
Symmetry-distinct sites (fractional):
Ag1 0.000 0.000 0.000 [1 per cell]
Ag2 0.500 0.500 0.285 [2 per cell]
B1 0.000 0.000 0.500 [1 per cell]
N1 0.000 0.000 0.345 [2 per cell]
N2 0.500 0.500 0.000 [1 per cell]

---

# 18
AgB2N2: optimized geometry, PBE.

Properties
E_tot = -7.388 eV per atom

a b c (Å): 2.5552 2.5552 19.6522
angles (deg): 90.00 90.00 120.00
Space group P6_3/mmc (No. 194)
Symmetry-distinct sites (fractional):
Ag1 0.0000 0.0000 0.2500 [2 per cell]
B1 0.3333 0.6667 0.0807 [4 per cell]
N1 0.3333 0.6667 0.5804 [4 per cell]

---

# 19
AgBNO: optimized geometry, PBE.

Properties
energy above the lowest structure with this stoichiometry = 0.0000 eV per atom

a b c (Å): 2.743 5.852 4.634
angles (deg): 90.00 90.00 90.00
Space group Pmc2_1 (No. 26)
Symmetry-distinct sites (fractional):
Ag1 0.000 0.131 0.000 [2 per cell]
B1 0.500 0.369 0.518 [2 per cell]
N1 0.000 0.241 0.467 [2 per cell]
O1 0.500 0.428 0.836 [2 per cell]

---

# 20
AgBNO: optimized geometry, PBE.

Properties
energy above the lowest structure with this stoichiometry = 0.0176 eV per atom

a b c (Å): 4.622 7.705 4.266
angles (deg): 90.00 90.00 90.00
Space group Pca2_1 (No. 29)
Symmetry-distinct sites (fractional):
Ag1 0.029 0.152 0.000 [4 per cell]
B1 0.088 0.589 0.994 [4 per cell]
N1 0.035 0.780 0.006 [4 per cell]
O1 0.133 0.525 0.657 [4 per cell]